Below is crystalline Ho2MgCl at its relaxed geometry, with properties calculated at the PBE-GGA level.

a b c (Å): 3.372 3.372 11.168
angles (deg): 81.32 81.32 60.00
Atoms (fractional coordinates):
Ho 0.099 0.099 0.703
Ho 0.901 0.901 0.297
Cl 0.500 0.500 0.500
Mg 0.000 0.000 0.000

Values from the calculation:
As for the total magnetic moment: 0.00 Bohr magnetons per cell. The value obtained for the calculated volume is 108 Å³ per cell. The value obtained for the uncorrected formation energy is -0.36 eV/atom.

Below is crystalline HoMgCl4 at its relaxed geometry, with properties calculated at the PBE-GGA level.

a b c (Å): 3.544 7.183 6.940
angles (deg): 106.17 90.00 90.00
Atoms (fractional coordinates):
Mg 0.000 0.500 0.500
Cl 0.500 0.299 0.280
Cl 0.000 0.723 0.274
Cl 0.000 0.277 0.726
Cl 0.500 0.701 0.720
Ho 0.500 0.500 0.000

Values from the calculation:
As for the total magnetic moment: 0.00 Bohr magnetons per cell. The value obtained for the calculated volume is 170 Å³ per cell. The value obtained for the uncorrected formation energy is -1.84 eV/atom.

Below is crystalline HoMgCl6 at its relaxed geometry, with properties calculated at the PBE-GGA level.

a b c (Å): 6.511 6.548 7.254
angles (deg): 59.29 59.06 60.01
Site moments in Bohr magnetons follow the coordinates.
Atoms (fractional coordinates):
Mg 0.000 0.000 0.000  0.00
Cl 0.618 0.215 0.277  0.17
Cl 0.382 0.785 0.723  0.17
Cl 0.723 0.102 0.789  0.18
Cl 0.931 0.589 0.243  0.08
Cl 0.277 0.898 0.211  0.18
Cl 0.069 0.411 0.757  0.08
Ho 0.500 0.500 0.500  -0.01

Values from the calculation:
As for the total magnetic moment: 1.11 Bohr magnetons per cell. The value obtained for the calculated volume is 216 Å³ per cell. The value obtained for the uncorrected formation energy is -1.66 eV/atom.

Below is crystalline NaHoMg2Cl8 at its relaxed geometry, with properties calculated at the PBE-GGA level.

a b c (Å): 6.243 6.177 7.811
angles (deg): 90.00 90.00 89.69
Atoms (fractional coordinates):
Cl 0.201 0.781 0.762
Cl 0.799 0.219 0.238
Cl 0.316 0.299 0.000
Cl 0.799 0.219 0.762
Cl 0.322 0.305 0.500
Cl 0.684 0.701 0.000
Cl 0.201 0.781 0.238
Cl 0.678 0.695 0.500
Ho 0.000 0.000 0.000
Na 0.000 0.000 0.500
Mg 0.500 0.500 0.736
Mg 0.500 0.500 0.264

Values from the calculation:
As for the total magnetic moment: 0.00 Bohr magnetons per cell. The value obtained for the calculated volume is 301 Å³ per cell. The value obtained for the uncorrected formation energy is -1.95 eV/atom.

Below is crystalline NaHoMgCl6 at its relaxed geometry, with properties calculated at the PBE-GGA level.

a b c (Å): 6.664 6.664 12.525
angles (deg): 90.00 90.00 120.00
Atoms (fractional coordinates):
Cl 0.352 0.365 0.366
Cl 0.365 0.352 0.866
Cl 0.635 0.988 0.366
Cl 0.648 0.635 0.634
Cl 0.988 0.635 0.866
Cl 0.012 0.648 0.366
Cl 0.648 0.012 0.866
Cl 0.988 0.352 0.634
Cl 0.635 0.648 0.134
Cl 0.352 0.988 0.134
Cl 0.365 0.012 0.634
Cl 0.012 0.365 0.134
Mg 0.667 0.333 0.750
Mg 0.333 0.667 0.250
Na 0.000 0.000 0.500
Na 0.000 0.000 0.000
Ho 0.667 0.333 0.250
Ho 0.333 0.667 0.750

Values from the calculation:
As for the total magnetic moment: 0.00 Bohr magnetons per cell. The value obtained for the calculated volume is 482 Å³ per cell. The value obtained for the uncorrected formation energy is -2.04 eV/atom.

Below is crystalline RbHoMgCl6 at its relaxed geometry, with properties calculated at the PBE-GGA level.

a b c (Å): 6.772 6.772 14.662
angles (deg): 90.00 90.00 120.00
Atoms (fractional coordinates):
Cl 0.630 0.012 0.851
Cl 0.618 0.988 0.351
Cl 0.618 0.630 0.149
Cl 0.382 0.012 0.649
Cl 0.370 0.988 0.149
Cl 0.988 0.370 0.649
Cl 0.382 0.370 0.851
Cl 0.630 0.618 0.649
Cl 0.988 0.618 0.851
Cl 0.370 0.382 0.351
Cl 0.012 0.630 0.351
Cl 0.012 0.382 0.149
Rb 0.000 0.000 0.500
Rb 0.000 0.000 0.000
Ho 0.333 0.667 0.750
Ho 0.667 0.333 0.250
Mg 0.333 0.667 0.250
Mg 0.667 0.333 0.750

Values from the calculation:
As for the total magnetic moment: 0.00 Bohr magnetons per cell. The value obtained for the calculated volume is 582 Å³ per cell. The value obtained for the uncorrected formation energy is -2.11 eV/atom.

Below is crystalline HoMg2TlCl8 at its relaxed geometry, with properties calculated at the PBE-GGA level.

a b c (Å): 6.480 6.473 8.920
angles (deg): 78.77 79.01 78.59
Atoms (fractional coordinates):
Cl 0.662 0.672 0.489
Cl 0.802 0.254 0.780
Cl 0.273 0.262 0.954
Cl 0.198 0.746 0.220
Cl 0.245 0.794 0.782
Cl 0.755 0.206 0.218
Cl 0.727 0.738 0.046
Cl 0.338 0.328 0.511
Mg 0.546 0.549 0.286
Mg 0.454 0.451 0.714
Tl 0.000 0.000 0.500
Ho 0.000 0.000 0.000

Values from the calculation:
As for the total magnetic moment: 0.00 Bohr magnetons per cell. The value obtained for the calculated volume is 355 Å³ per cell. The value obtained for the uncorrected formation energy is -1.81 eV/atom.

Below is crystalline HoMnCl6 at its relaxed geometry, with properties calculated at the PBE-GGA level.

a b c (Å): 6.401 6.395 6.853
angles (deg): 62.14 62.10 59.97
Site moments in Bohr magnetons follow the coordinates.
Atoms (fractional coordinates):
Mn 0.000 0.000 0.000  3.70
Cl 0.382 0.767 0.762  0.00
Cl 0.233 0.910 0.239  0.01
Cl 0.911 0.618 0.238  0.00
Cl 0.089 0.382 0.762  0.00
Cl 0.618 0.233 0.238  0.00
Cl 0.767 0.090 0.761  0.01
Ho 0.500 0.500 0.500  0.05

Values from the calculation:
As for the total magnetic moment: 4.00 Bohr magnetons per cell. The value obtained for the calculated volume is 204 Å³ per cell. The value obtained for the uncorrected formation energy is -1.52 eV/atom.

Below is crystalline HoMnCl at its relaxed geometry, with properties calculated at the PBE-GGA level.

a b c (Å): 4.982 5.991 8.513
angles (deg): 81.05 94.27 33.70
Site moments in Bohr magnetons follow the coordinates.
Atoms (fractional coordinates):
Ho 0.310 0.746 0.045  -0.39
Ho 0.669 0.933 0.361  -0.25
Mn 0.529 0.071 0.720  3.99
Mn 0.275 0.288 0.003  3.00
Cl 0.653 0.513 0.780  0.06
Cl 0.701 0.401 0.390  0.01

Values from the calculation:
As for the total magnetic moment: 6.63 Bohr magnetons per cell. The value obtained for the calculated volume is 129 Å³ per cell. The value obtained for the uncorrected formation energy is -0.39 eV/atom.

Below is crystalline NaHoMnCl6 at its relaxed geometry, with properties calculated at the PBE-GGA level.

a b c (Å): 6.482 6.482 12.551
angles (deg): 90.00 90.00 120.00
Site moments in Bohr magnetons follow the coordinates.
Atoms (fractional coordinates):
Ho 0.667 0.333 0.750  -0.01
Ho 0.333 0.667 0.250  -0.01
Mn 0.333 0.667 0.750  0.99
Mn 0.667 0.333 0.250  0.99
Cl 0.026 0.658 0.863  -0.01
Cl 0.368 0.342 0.363  -0.01
Cl 0.342 0.368 0.863  -0.01
Cl 0.658 0.026 0.363  -0.01
Cl 0.342 0.974 0.637  -0.01
Cl 0.974 0.342 0.137  -0.01
Cl 0.658 0.632 0.137  -0.01
Cl 0.026 0.368 0.637  -0.01
Cl 0.632 0.658 0.637  -0.01
Cl 0.632 0.974 0.863  -0.01
Cl 0.974 0.632 0.363  -0.01
Cl 0.368 0.026 0.137  -0.01
Na 0.000 0.000 0.500  0.00
Na 0.000 0.000 0.000  0.00

Values from the calculation:
As for the total magnetic moment: 1.99 Bohr magnetons per cell. The value obtained for the calculated volume is 457 Å³ per cell. The value obtained for the uncorrected formation energy is -1.54 eV/atom.

Below is crystalline RbHoMn2Cl8 at its relaxed geometry, with properties calculated at the PBE-GGA level.

a b c (Å): 6.441 6.441 11.081
angles (deg): 73.11 73.11 60.00
Site moments in Bohr magnetons follow the coordinates.
Atoms (fractional coordinates):
Cl 0.232 0.866 0.337  0.04
Cl 0.768 0.435 0.663  0.04
Cl 0.319 0.319 0.044  0.08
Cl 0.565 0.232 0.337  0.04
Cl 0.435 0.134 0.663  0.04
Cl 0.681 0.681 0.956  0.08
Cl 0.866 0.565 0.337  0.04
Cl 0.134 0.768 0.663  0.04
Rb 0.000 0.000 0.000  0.00
Ho 0.500 0.500 0.500  0.08
Mn 0.246 0.246 0.261  4.33
Mn 0.754 0.754 0.739  4.33

Values from the calculation:
As for the total magnetic moment: 10.00 Bohr magnetons per cell. The value obtained for the calculated volume is 375 Å³ per cell. The value obtained for the uncorrected formation energy is -1.59 eV/atom.

Below is crystalline RbHoMnCl6 at its relaxed geometry, with properties calculated at the PBE-GGA level.

a b c (Å): 6.475 6.475 15.055
angles (deg): 90.00 90.00 120.00
Site moments in Bohr magnetons follow the coordinates.
Atoms (fractional coordinates):
Cl 0.619 0.970 0.845  0.00
Cl 0.649 0.619 0.155  0.00
Cl 0.351 0.381 0.845  0.00
Cl 0.619 0.649 0.655  0.00
Cl 0.381 0.030 0.155  0.00
Cl 0.970 0.351 0.155  0.00
Cl 0.351 0.970 0.655  0.00
Cl 0.970 0.619 0.345  0.00
Cl 0.030 0.649 0.845  0.00
Cl 0.381 0.351 0.345  0.00
Cl 0.649 0.030 0.345  0.00
Cl 0.030 0.381 0.655  0.00
Rb 0.000 0.000 0.500  0.00
Rb 0.000 0.000 0.000  0.00
Mn 0.667 0.333 0.250  0.92
Mn 0.333 0.667 0.750  0.92
Ho 0.333 0.667 0.250  -0.01
Ho 0.667 0.333 0.750  -0.01

Values from the calculation:
As for the total magnetic moment: 1.88 Bohr magnetons per cell. The value obtained for the calculated volume is 547 Å³ per cell. The value obtained for the uncorrected formation energy is -1.58 eV/atom.

| no. | electronic total energy (hartree per atom) |
| --- | --- |
| 1 | -0.1289 |
| 2 | -0.1506 |
| 3 | -0.1402 |
| 4 | -0.1447 |
| 5 | -0.1508 |
| 6 | -0.1519 |
| 7 | -0.1427 |
| 8 | -0.1698 |
| 9 | -0.2052 |
| 10 | -0.1634 |
| 11 | -0.1767 |
| 12 | -0.1635 |